SmDy2Th: optimized geometry, PBE.

```
data_SmDy2Th
_chemical_formula_sum 'Sm4 Dy8 Th4'
_symmetry_space_group_name_H-M 'F m -3 m'
_symmetry_Int_Tables_number 225
_symmetry_space_group_name_Hall '-F 4 2 3'
_cell_length_a 8.042
_cell_length_b 8.042
_cell_length_c 8.042
_cell_angle_alpha 90.00
_cell_angle_beta 90.00
_cell_angle_gamma 90.00
loop_
_atom_site_label
_atom_site_fract_x
_atom_site_fract_y
_atom_site_fract_z
_atom_site_occupancy
Sm1 0.000 0.000 0.000 1
Dy1 0.250 0.250 0.250 1
Th1 0.000 0.000 0.500 1
```

Computed properties:
* ρ: 9.03 g/cm³
* E_form: 0.150 eV per atom
* D(E_F): 8.6 states/eV/f.u.